# SrFe2Os GGA-PBEsol optimized geometry
data_SrFe2Os
_symmetry_space_group_name_H-M 'P 4/m m m'
_symmetry_Int_Tables_number 123
_symmetry_space_group_name_Hall '-P 4 2'
_cell_length_a 3.129
_cell_length_b 3.129
_cell_length_c 7.009
_cell_angle_alpha 90.00
_cell_angle_beta 90.00
_cell_angle_gamma 90.00
loop_
_atom_site_label
_atom_site_fract_x
_atom_site_fract_y
_atom_site_fract_z
Sr1 0.000 0.000 0.000
Fe1 0.500 0.500 0.333
Os1 0.000 0.000 0.500
# **DFT formation energy**: 0.624 eV per atom
# **Final energy**: -7.3714 eV per atom
# **Polymorph energy (0 for the lowest one)**: 19 meV per atom
# **Magnetization**: 4.43 Bohr magnetons per cell
# **V**: 68.6 Å³ per cell